Record 1
## InIrS2N (PBE)

Data for a relaxed structure of InIrS2N.

Summary:
volume	92	Å³/f.u.
relative energy among the computed polymorphs	0.0000	eV/atom
E_form (uncorrected)	0.239	eV per atom
electronic total energy	-26.99	eV for the cell shown

abc: 4.9869 4.9869 3.6978
angles: 90.00 90.00 90.00
Positions (direct):
In 0.0000 0.0000 0.0000
Ir 0.5000 0.5000 0.5000
S 0.0000 0.5000 0.5000
S 0.5000 0.0000 0.5000
N 0.5000 0.5000 0.0000

---

Record 2
## BeP2SeO (PBE)

Data for a relaxed structure of BeP2SeO.

Summary:
volume	85	Å³/f.u.
relative energy among the computed polymorphs	0.8455	eV/atom
E_form (uncorrected)	0.897	eV per atom
electronic total energy	-18.50	eV for the cell shown

abc: 4.8487 4.8487 3.6296
angles: 90.00 90.00 90.00
Positions (direct):
Be 0.0000 0.0000 0.0000
P 0.0000 0.5000 0.5000
P 0.5000 0.0000 0.5000
Se 0.5000 0.5000 0.5000
O 0.5000 0.5000 0.0000

---

Record 3
## Tb2Dy6Y (PBE)

Data for a relaxed structure of Tb2Dy6Y.

Summary:
volume	286	Å³/f.u.
formation energy	0.115	eV/atom
relative energy among the computed polymorphs	0.0980	eV/atom
electronic total energy	-84.60	eV for the cell shown

abc: 10.3069 10.3069 6.1299
angles: 91.73 91.73 118.19
Positions (direct):
Tb 0.1603 0.3354 0.0147
Tb 0.3354 0.1603 0.5147
Tb 0.6646 0.8397 0.4853
Tb 0.8397 0.6646 0.9853
Dy 0.0044 0.8255 0.4932
Dy 0.0904 0.5753 0.7444
Dy 0.1745 0.9956 0.0068
Dy 0.3376 0.4884 0.5099
Dy 0.4247 0.9096 0.7556
Dy 0.4884 0.3376 0.0099
Dy 0.5116 0.6624 0.9901
Dy 0.5753 0.0904 0.2444
Dy 0.6624 0.5116 0.4901
Dy 0.8255 0.0044 0.9932
Dy 0.9096 0.4247 0.2556
Dy 0.9956 0.1745 0.5068
Y 0.2629 0.7371 0.2500
Y 0.7371 0.2629 0.7500

---

Record 4
## Pm2Nd6Zn (PBE)

Data for a relaxed structure of Pm2Nd6Zn.

Summary:
volume	296	Å³/f.u.
formation energy	0.010	eV/atom
relative energy among the computed polymorphs	0.0508	eV/atom
electronic total energy	-78.59	eV for the cell shown

abc: 10.1140 10.5145 5.5697
angles: 90.00 90.00 90.00
Positions (direct):
Pm 0.1920 0.2447 0.0000
Pm 0.3080 0.7447 0.5000
Pm 0.6920 0.2553 0.5000
Pm 0.8080 0.7553 0.0000
Nd 0.0181 0.3065 0.5000
Nd 0.1331 0.8947 0.0000
Nd 0.1912 0.5684 0.0000
Nd 0.3088 0.0684 0.5000
Nd 0.3669 0.3947 0.5000
Nd 0.4819 0.8065 0.0000
Nd 0.5181 0.1935 0.0000
Nd 0.6331 0.6053 0.5000
Nd 0.6912 0.9316 0.5000
Nd 0.8088 0.4316 0.0000
Nd 0.8669 0.1053 0.0000
Nd 0.9819 0.6935 0.5000
Zn 0.0000 0.0000 0.5000
Zn 0.5000 0.5000 0.0000

---

Record 5
## TbPrIr (PBE)

Data for a relaxed structure of TbPrIr.

Summary:
volume	84	Å³/f.u.
formation energy	-0.573	eV/atom
relative energy among the computed polymorphs	0.0093	eV/atom
electronic total energy	-39.98	eV for the cell shown

abc: 4.8755 4.9613 6.9395
angles: 89.16 89.60 89.99
Positions (direct):
Tb 0.0055 0.4878 0.2500
Tb 0.9945 0.5122 0.7500
Pr 0.4938 0.0133 0.7500
Pr 0.5062 0.9867 0.2500
Ir 0.0000 0.0000 0.5000
Ir 0.5000 0.5000 0.0000

---

Record 6
## Ta2OsSe (PBE)

Data for a relaxed structure of Ta2OsSe.

Summary:
volume	68	Å³/f.u.
E_form (uncorrected)	0.465	eV per atom
electronic total energy	-146.25	eV for the cell shown

abc: 6.4712 6.4712 6.4712
angles: 90.00 90.00 90.00
Positions (direct):
Ta 0.0000 0.0000 0.0000
Ta 0.0000 0.5000 0.5000
Ta 0.2500 0.2500 0.2500
Ta 0.2500 0.7500 0.7500
Ta 0.5000 0.0000 0.5000
Ta 0.5000 0.5000 0.0000
Ta 0.7500 0.2500 0.7500
Ta 0.7500 0.7500 0.2500
Os 0.0000 0.0000 0.5000
Os 0.0000 0.5000 0.0000
Os 0.5000 0.0000 0.0000
Os 0.5000 0.5000 0.5000
Se 0.2500 0.2500 0.7500
Se 0.2500 0.7500 0.2500
Se 0.7500 0.2500 0.2500
Se 0.7500 0.7500 0.7500

---

Record 7
## Ba2Y (PBE)

Data for a relaxed structure of Ba2Y.

Summary:
volume	160	Å³/f.u.
formation energy	0.672	eV/atom
relative energy among the computed polymorphs	0.4983	eV/atom
electronic total energy	-33.17	eV for the cell shown

abc: 8.6138 8.6138 8.6138
angles: 90.00 90.00 90.00
Positions (direct):
Ba 0.1414 0.1414 0.1414
Ba 0.1414 0.3586 0.6414
Ba 0.3586 0.6414 0.1414
Ba 0.3586 0.8586 0.6414
Ba 0.6414 0.1414 0.3586
Ba 0.6414 0.3586 0.8586
Ba 0.8586 0.6414 0.3586
Ba 0.8586 0.8586 0.8586
Y 0.0000 0.0000 0.5000
Y 0.0000 0.5000 0.0000
Y 0.5000 0.0000 0.0000
Y 0.5000 0.5000 0.5000

---

Record 8
## Mg14VSn (PBE)

Data for a relaxed structure of Mg14VSn.

Summary:
volume	354	Å³/f.u.
formation energy	0.040	eV/atom
relative energy among the computed polymorphs	0.0000	eV/atom
electronic total energy	-34.81	eV for the cell shown

abc: 10.3331 6.3222 6.3222
angles: 59.10 90.00 90.00
Positions (direct):
Mg 0.0000 0.0000 0.0000
Mg 0.0000 0.0017 0.4995
Mg 0.0000 0.4995 0.0017
Mg 0.0000 0.4994 0.4994
Mg 0.2475 0.6663 0.6663
Mg 0.2555 0.1621 0.1621
Mg 0.2563 0.1607 0.6711
Mg 0.2563 0.6711 0.1607
Mg 0.5000 0.4979 0.9989
Mg 0.5000 0.9989 0.4979
Mg 0.7437 0.1607 0.6711
Mg 0.7437 0.6711 0.1607
Mg 0.7445 0.1621 0.1621
Mg 0.7525 0.6663 0.6663
V 0.5000 0.0001 0.0001
Sn 0.5000 0.5013 0.5013

---

Record 9
## Mn2PHPd (PBE)

Data for a relaxed structure of Mn2PHPd.

Summary:
volume	68	Å³/f.u.
electronic total energy	-31.23	eV for the cell shown

abc: 4.6357 4.6357 3.1653
angles: 90.00 90.00 90.00
Positions (direct):
Mn 0.0000 0.5000 0.0000
Mn 0.5000 0.0000 0.0000
P 0.0000 0.0000 0.0000
H 0.0000 0.0000 0.5000
Pd 0.5000 0.5000 0.5000

---

Record 10
## Be2GaFe (PBE)

Data for a relaxed structure of Be2GaFe.

Summary:
volume	41	Å³/f.u.
formation energy	-0.073	eV/atom
electronic total energy	-19.23	eV for the cell shown

abc: 3.5403 3.5403 3.2964
angles: 90.00 90.00 90.00
Positions (direct):
Be 0.0000 0.5000 0.0000
Be 0.5000 0.0000 0.0000
Ga 0.0000 0.0000 0.5000
Fe 0.5000 0.5000 0.5000

---

Record 11
## BaH6Se (PBE)

Data for a relaxed structure of BaH6Se.

Summary:
volume	110	Å³/f.u.
electronic total energy	-51.40	eV for the cell shown

abc: 6.3098 6.6574 5.7068
angles: 90.00 113.81 90.00
Positions (direct):
Ba 0.0000 0.0000 0.0000
Ba 0.5000 0.5000 0.0000
H 0.0657 0.0000 0.5220
H 0.0681 0.3309 0.7658
H 0.0681 0.6691 0.7658
H 0.4319 0.1691 0.2342
H 0.4319 0.8309 0.2342
H 0.4343 0.5000 0.4780
H 0.5657 0.5000 0.5220
H 0.5681 0.1691 0.7658
H 0.5681 0.8309 0.7658
H 0.9319 0.3309 0.2342
H 0.9319 0.6691 0.2342
H 0.9343 0.0000 0.4780
Se 0.0000 0.5000 0.5000
Se 0.5000 0.0000 0.5000

---

Record 12
## La3As5Au6 (PBE)

Data for a relaxed structure of La3As5Au6.

Summary:
volume	308	Å³/f.u.
formation energy	-0.663	eV/atom
electronic total energy	-133.95	eV for the cell shown

abc: 4.3894 13.2607 10.5997
angles: 90.00 90.00 90.00
Positions (direct):
La 0.2500 0.0846 0.2443
La 0.2500 0.4154 0.2443
La 0.2500 0.7500 0.2570
La 0.7500 0.2500 0.7430
La 0.7500 0.5846 0.7557
La 0.7500 0.9154 0.7557
As 0.2500 0.0807 0.8546
As 0.2500 0.4193 0.8546
As 0.2500 0.6215 0.5212
As 0.2500 0.7500 0.8125
As 0.2500 0.8785 0.5212
As 0.7500 0.1215 0.4788
As 0.7500 0.2500 0.1875
As 0.7500 0.3785 0.4788
As 0.7500 0.5807 0.1454
As 0.7500 0.9193 0.1454
Au 0.2500 0.0673 0.6129
Au 0.2500 0.2500 0.4606
Au 0.2500 0.2500 0.9983
Au 0.2500 0.4327 0.6129
Au 0.2500 0.5987 0.9968
Au 0.2500 0.9013 0.9968
Au 0.7500 0.0987 0.0032
Au 0.7500 0.4013 0.0032
Au 0.7500 0.5673 0.3871
Au 0.7500 0.7500 0.0017
Au 0.7500 0.7500 0.5394
Au 0.7500 0.9327 0.3871